Record 1
First-principles (PBE) data for a geometry-optimized K2IrRu structure, as listed in the Alexandria database.

Cell: 6.122 6.122 2.812 Å, 90.00 90.00 128.00°
Element x y z (fractional)
K 0.000 0.500 0.000
K 0.500 0.000 0.000
Ir 0.000 0.000 0.500
Ru 0.500 0.500 0.500

Results
Total magnetic moment   1.3 μB/cell
Excess energy over the best structure of this formula in the dataset   0.605 eV per atom
Uncorrected energy   -15.94 eV/f.u.
SG   Cmmm
E_form   1.0984 eV/atom
ρ   7.43 Mg/m³

Record 2
First-principles (PBE) data for a geometry-optimized KIr2Ru structure, as listed in the Alexandria database.

Cell: 2.788 2.788 9.122 Å, 90.00 90.00 90.00°
Element x y z (fractional)
K 0.000 0.000 0.000
Ir 0.500 0.500 0.304
Ir 0.500 0.500 0.696
Ru 0.000 0.000 0.500

Results
Total magnetic moment   0.0 μB/cell
Excess energy over the best structure of this formula in the dataset   0.000 eV per atom
Uncorrected energy   -26.22 eV/f.u.
SG   P4/mmm
E_form   0.4691 eV/atom
ρ   12.29 Mg/m³

Record 3
First-principles (PBE) data for a geometry-optimized KIr2Ru structure, as listed in the Alexandria database.

Cell: 4.627 4.627 6.875 Å, 94.87 94.87 34.46°
Element x y z (fractional)
K 0.000 0.000 0.000
Ir 0.235 0.235 0.661
Ir 0.502 0.502 0.500
Ru 0.771 0.771 0.353

Results
Total magnetic moment   0.0 μB/cell
Excess energy over the best structure of this formula in the dataset   0.221 eV per atom
Uncorrected energy   -25.33 eV/f.u.
SG   Cm
E_form   0.6905 eV/atom
ρ   10.50 Mg/m³

Record 4
First-principles (PBE) data for a geometry-optimized KIrRu2 structure, as listed in the Alexandria database.

Cell: 2.739 4.902 5.074 Å, 90.00 90.00 90.00°
Element x y z (fractional)
K 0.000 0.000 0.000
Ir 0.500 0.000 0.500
Ru 0.000 0.500 0.500
Ru 0.500 0.500 0.000

Results
Total magnetic moment   2.7 μB/cell
Excess energy over the best structure of this formula in the dataset   0.666 eV per atom
Uncorrected energy   -23.38 eV/f.u.
SG   Pmmm
E_form   1.2813 eV/atom
ρ   10.57 Mg/m³

Record 5
First-principles (PBE) data for a geometry-optimized KIrRu4 structure, as listed in the Alexandria database.

Cell: 5.198 5.198 5.198 Å, 60.00 60.00 60.00°
Element x y z (fractional)
K 0.000 0.000 0.000
Ir 0.250 0.250 0.250
Ru 0.126 0.625 0.625
Ru 0.625 0.126 0.625
Ru 0.625 0.625 0.126
Ru 0.625 0.625 0.625

Results
Total magnetic moment   0.0 μB/cell
Uncorrected energy   -40.76 eV/f.u.
SG   F-43m
E_form   1.0502 eV/atom
ρ   10.63 Mg/m³

Record 6
First-principles (PBE) data for a geometry-optimized KIrRu2 structure, as listed in the Alexandria database.

Cell: 6.059 6.059 6.059 Å, 103.24 103.24 122.81°
Element x y z (fractional)
K 0.000 0.000 0.000
K 0.750 0.250 0.500
Ir 0.250 0.750 0.500
Ir 0.500 0.500 0.000
Ru 0.194 0.125 0.569
Ru 0.375 0.806 0.931
Ru 0.556 0.625 0.431
Ru 0.875 0.444 0.069

Results
Total magnetic moment   0.0 μB/cell
Excess energy over the best structure of this formula in the dataset   0.659 eV per atom
Uncorrected energy   -23.41 eV/f.u.
SG   I-42d
E_form   1.2749 eV/atom
ρ   8.77 Mg/m³

Record 7
First-principles (PBE) data for a geometry-optimized KIrRu2 structure, as listed in the Alexandria database.

Cell: 2.737 2.737 10.344 Å, 90.00 90.00 118.98°
Element x y z (fractional)
K 0.000 0.000 0.000
Ir 0.000 0.000 0.500
Ru 0.500 0.500 0.281
Ru 0.500 0.500 0.719

Results
Total magnetic moment   0.0 μB/cell
Excess energy over the best structure of this formula in the dataset   0.271 eV per atom
Uncorrected energy   -24.96 eV/f.u.
SG   Cmmm
E_form   0.8866 eV/atom
ρ   10.62 Mg/m³

Record 8
First-principles (PBE) data for a geometry-optimized KIrRu2 structure, as listed in the Alexandria database.

Cell: 2.698 3.805 7.781 Å, 90.00 90.00 90.00°
Element x y z (fractional)
K 0.000 0.000 0.000
Ir 0.500 0.500 0.672
Ru 0.000 0.000 0.505
Ru 0.500 0.500 0.345

Results
Total magnetic moment   0.0 μB/cell
Excess energy over the best structure of this formula in the dataset   0.058 eV per atom
Uncorrected energy   -25.82 eV/f.u.
SG   Pmm2
E_form   0.6731 eV/atom
ρ   9.01 Mg/m³

Record 9
First-principles (PBE) data for a geometry-optimized KIr2Ru structure, as listed in the Alexandria database.

Cell: 2.723 3.695 7.892 Å, 90.00 90.00 90.00°
Element x y z (fractional)
K 0.000 0.000 0.000
Ir 0.500 0.500 0.332
Ir 0.500 0.500 0.668
Ru 0.000 0.000 0.500

Results
Total magnetic moment   0.0 μB/cell
Excess energy over the best structure of this formula in the dataset   0.123 eV per atom
Uncorrected energy   -25.73 eV/f.u.
SG   Pmmm
E_form   0.5926 eV/atom
ρ   10.97 Mg/m³

Record 10
First-principles (PBE) data for a geometry-optimized KIrRu2 structure, as listed in the Alexandria database.

Cell: 4.548 4.548 7.063 Å, 94.00 94.00 34.86°
Element x y z (fractional)
K 0.000 0.000 0.000
Ir 0.763 0.763 0.340
Ru 0.231 0.231 0.644
Ru 0.496 0.496 0.499

Results
Total magnetic moment   0.0 μB/cell
Excess energy over the best structure of this formula in the dataset   0.155 eV per atom
Uncorrected energy   -25.43 eV/f.u.
SG   Cm
E_form   0.7704 eV/atom
ρ   8.64 Mg/m³

Record 11
First-principles (PBE) data for a geometry-optimized KIrRu2 structure, as listed in the Alexandria database.

Cell: 5.878 5.878 5.878 Å, 153.27 129.43 58.12°
Element x y z (fractional)
K 0.000 0.000 0.000
Ir 0.714 0.214 0.500
Ru 0.283 0.783 0.500
Ru 0.493 0.493 0.000

Results
Total magnetic moment   0.0 μB/cell
Excess energy over the best structure of this formula in the dataset   0.366 eV per atom
Uncorrected energy   -24.58 eV/f.u.
SG   Imm2
E_form   0.9819 eV/atom
ρ   10.26 Mg/m³

Record 12
First-principles (PBE) data for a geometry-optimized K2IrRu structure, as listed in the Alexandria database.

Cell: 2.820 5.658 4.923 Å, 90.00 92.26 90.00°
Element x y z (fractional)
K 0.248 0.000 0.251
K 0.752 0.000 0.749
Ir 0.000 0.500 0.500
Ru 0.500 0.500 0.000

Results
Total magnetic moment   0.4 μB/cell
Excess energy over the best structure of this formula in the dataset   0.547 eV per atom
Uncorrected energy   -16.17 eV/f.u.
SG   P2/m
E_form   1.0408 eV/atom
ρ   7.86 Mg/m³